DFT (PBE) results for NaHF4 after structural relaxation.

Summary:
The space group is No. 11. The energy above the lowest structure with this stoichiometry is 58 meV/atom. For the total moment, the calculation gives 0.00 μB/cell.

a = 4.7393 Å, b = 6.2932 Å, c = 5.5580 Å
α = 90.00°, β = 90.00°, γ = 118.59°
With the nearest neighbours (Å) after each atom.
Positions (direct):
F 0.6779 0.2747 0.2500  2 F 1.97
F 0.9838 0.1315 0.7500  1 H 0.96
F 0.3736 0.6756 0.0937  1 F 1.74, 1 H 1.79
F 0.3736 0.6756 0.4063  1 F 1.74, 1 H 1.79
F 0.6264 0.3244 0.5937  1 F 1.74, 1 H 1.79
F 0.0162 0.8685 0.2500  1 H 0.96
F 0.3221 0.7253 0.7500  2 F 1.97
Na 0.8222 0.7260 0.7500  5 F 2.29-2.40
H 0.8263 0.1867 0.7500  1 F 0.96
F 0.6264 0.3244 0.9063  1 F 1.74, 1 H 1.79
H 0.1737 0.8133 0.2500  1 F 0.96
Na 0.1778 0.2740 0.2500  5 F 2.29-2.40


DFT (PBE) results for Tl4Cd5Sb6 after structural relaxation.

Summary:
The space group is No. 36. The formation energy (no corrections) comes out at -0.014 eV per atom. For the total moment, the calculation gives 0.00 μB/cell.

a = 4.7657 Å, b = 11.0266 Å, c = 18.0075 Å
α = 90.00°, β = 90.00°, γ = 102.48°
With the nearest neighbours (Å) after each atom.
Positions (direct):
Sb 0.4366 0.8731 0.1191  5 Cd 2.94-3.13
Cd 0.5629 0.1259 0.1815  4 Sb 2.94-3.01
Tl 0.8283 0.6566 0.8050  6 Sb 3.38-3.43
Cd 0.2879 0.5759 0.6272  4 Sb 2.92-2.98, 1 Cd 3.12
Cd 0.6432 0.2864 0.7642  4 Sb 2.91-3.13
Sb 0.5622 0.1243 0.8986  1 Sb 2.85, 1 Cd 2.98
Sb 0.1287 0.2575 0.1232  4 Cd 2.96-2.98, 1 Tl 3.22
Sb 0.4378 0.8757 0.3986  1 Sb 2.85, 1 Cd 2.98
Cd 0.8567 0.7134 0.1269  4 Sb 2.94-3.04, 1 Cd 3.12
Tl 0.0116 0.0232 0.0119  5 Sb 3.22-3.47
Sb 0.4367 0.8734 0.8486  1 Sb 2.85, 2 Cd 2.93-3.01
Cd 0.3571 0.7141 0.9802  4 Sb 2.92-3.03
Cd 0.7121 0.4241 0.1272  4 Sb 2.92-2.98, 1 Cd 3.12
Tl 0.0265 0.0530 0.7675  6 Sb 3.40-3.67, 5 Cd 3.43-3.57
Sb 0.8713 0.7425 0.6232  4 Cd 2.96-2.98, 1 Tl 3.22
Sb 0.7789 0.5579 0.2681  4 Cd 2.91-3.04
Tl 0.1717 0.3434 0.3050  6 Sb 3.38-3.43
Sb 0.5634 0.1269 0.6191  5 Cd 2.94-3.13
Tl 0.1762 0.3525 0.9472  6 Sb 3.33-3.53
Cd 0.6429 0.2859 0.4802  4 Sb 2.92-3.03
Sb 0.5633 0.1266 0.3486  1 Sb 2.85, 2 Cd 2.93-3.01
Sb 0.2211 0.4421 0.7681  4 Cd 2.91-3.04
Cd 0.1433 0.2866 0.6269  4 Sb 2.94-3.04, 1 Cd 3.12
Cd 0.4371 0.8741 0.6815  4 Sb 2.94-3.01
Tl 0.9735 0.9470 0.2675  6 Sb 3.40-3.67, 5 Cd 3.43-3.57
Tl 0.9884 0.9768 0.5119  5 Sb 3.22-3.47
Sb 0.7792 0.5585 0.9863  4 Cd 2.92-3.03
Tl 0.8238 0.6475 0.4472  6 Sb 3.33-3.53
Cd 0.3568 0.7136 0.2642  4 Sb 2.91-3.13
Sb 0.2208 0.4415 0.4863  4 Cd 2.92-3.03


DFT (PBE) results for Sr2MoI after structural relaxation.

Summary:
The space group is No. 122. The energy above the lowest structure with this stoichiometry is 61 meV/atom. The formation energy (no corrections) comes out at 0.535 eV per atom. For the total moment, the calculation gives 9.46 μB/cell.

a = 8.8676 Å, b = 8.8676 Å, c = 7.5124 Å
α = 53.83°, β = 53.83°, γ = 90.00°
With the nearest neighbours (Å) after each atom.
Positions (direct):
Sr 0.3750 0.3805 0.7500  2 Mo 3.27, 2 I 3.33
Sr 0.6195 0.1250 0.2500  2 Mo 3.27, 2 I 3.33
Sr 0.8750 0.8695 0.7500  2 Mo 3.27, 2 I 3.33
Mo 0.5000 0.5000 0.0000  4 Sr 3.27
I 0.7500 0.2500 0.5000  4 Sr 3.33
I 0.0000 0.0000 0.0000  4 Sr 3.33
Mo 0.2500 0.7500 0.5000  4 Sr 3.27
Sr 0.1305 0.6250 0.2500  2 Mo 3.27, 2 I 3.33


DFT (PBE) results for K12Na5Hg3 after structural relaxation.

Summary:
The calculation puts the energy relative to the elements at 0.0963 eV per atom. The space group is No. 230. For the total moment, the calculation gives 0.00 μB/cell.

a = 18.6521 Å, b = 18.6521 Å, c = 18.6521 Å
α = 109.47°, β = 109.47°, γ = 109.47°
With the nearest neighbours (Å) after each atom.
Positions (direct):
Hg 0.7500 0.8750 0.6250  4 K 3.62
K 0.1314 0.3951 0.0658  2 Na 3.61-3.76, 1 Hg 3.62, 1 K 4.00
Na 0.3750 0.1250 0.7500  4 K 3.61
K 0.3951 0.1314 0.5658  2 Na 3.61-3.76, 1 Hg 3.62, 1 K 4.00
Na 0.2500 0.8750 0.1250  4 K 3.61
Hg 0.6250 0.3750 0.7500  4 K 3.62
K 0.9342 0.8293 0.5656  2 Na 3.61-3.76, 1 Hg 3.62, 1 K 4.00
Na 0.7500 0.6250 0.3750  4 K 3.61
K 0.7637 0.3293 0.8951  2 Na 3.61-3.76, 1 Hg 3.62, 1 K 4.00
Na 0.0000 0.0000 0.5000  6 K 3.76
Na 0.8750 0.6250 0.7500  4 K 3.61
K 0.8951 0.8293 0.7637  2 Na 3.61-3.76, 1 Hg 3.62, 1 K 4.00
K 0.7637 0.4344 0.3686  2 Na 3.61-3.76, 1 Hg 3.62, 1 K 4.00
K 0.5656 0.2363 0.1314  2 Na 3.61-3.76, 1 Hg 3.62, 1 K 4.00
Na 0.7500 0.1250 0.8750  4 K 3.61
K 0.4344 0.7637 0.8686  2 Na 3.61-3.76, 1 Hg 3.62, 1 K 4.00
K 0.5656 0.3293 0.9342  2 Na 3.61-3.76, 1 Hg 3.62, 1 K 4.00
Na 0.8750 0.2500 0.6250  4 K 3.61
K 0.6049 0.7363 0.6707  2 Na 3.61-3.76, 1 Hg 3.62, 1 K 4.00
K 0.6707 0.4344 0.5658  2 Na 3.61-3.76, 1 Hg 3.62, 1 K 4.00
Hg 0.7500 0.3750 0.1250  4 K 3.62
K 0.6314 0.0656 0.2363  2 Na 3.61-3.76, 1 Hg 3.62, 1 K 4.00
Hg 0.6250 0.2500 0.3750  4 K 3.62
Na 0.5000 0.5000 0.5000  6 K 3.76
K 0.2637 0.8686 0.9344  2 Na 3.61-3.76, 1 Hg 3.62, 1 K 4.00
K 0.0658 0.1707 0.4344  2 Na 3.61-3.76, 1 Hg 3.62, 1 K 4.00
Na 0.3750 0.2500 0.1250  4 K 3.61
Hg 0.3750 0.6250 0.2500  4 K 3.62
K 0.6314 0.5658 0.8951  2 Na 3.61-3.76, 1 Hg 3.62, 1 K 4.00
K 0.5658 0.6314 0.3951  2 Na 3.61-3.76, 1 Hg 3.62, 1 K 4.00
Hg 0.1250 0.8750 0.7500  4 K 3.62
K 0.1049 0.9342 0.3686  2 Na 3.61-3.76, 1 Hg 3.62, 1 K 4.00
K 0.9342 0.1049 0.8686  2 Na 3.61-3.76, 1 Hg 3.62, 1 K 4.00
Na 0.0000 0.5000 0.0000  6 K 3.76
Hg 0.1250 0.2500 0.8750  4 K 3.62
K 0.3293 0.5656 0.4342  2 Na 3.61-3.76, 1 Hg 3.62, 1 K 4.00
Na 0.5000 0.5000 0.0000  6 K 3.76
K 0.2637 0.3951 0.8293  2 Na 3.61-3.76, 1 Hg 3.62, 1 K 4.00
Hg 0.3750 0.7500 0.6250  4 K 3.62
K 0.0656 0.4342 0.8293  2 Na 3.61-3.76, 1 Hg 3.62, 1 K 4.00
Na 0.2500 0.3750 0.6250  4 K 3.61
Na 0.5000 0.0000 0.0000  6 K 3.76
K 0.4342 0.0656 0.3293  2 Na 3.61-3.76, 1 Hg 3.62, 1 K 4.00
K 0.5658 0.9344 0.6707  2 Na 3.61-3.76, 1 Hg 3.62, 1 K 4.00
K 0.1049 0.1707 0.2363  2 Na 3.61-3.76, 1 Hg 3.62, 1 K 4.00
K 0.3686 0.4342 0.1049  2 Na 3.61-3.76, 1 Hg 3.62, 1 K 4.00
Na 0.6250 0.8750 0.2500  4 K 3.61
K 0.0656 0.6314 0.7363  2 Na 3.61-3.76, 1 Hg 3.62, 1 K 4.00
K 0.1707 0.1049 0.7363  2 Na 3.61-3.76, 1 Hg 3.62, 1 K 4.00
K 0.8293 0.8951 0.2637  2 Na 3.61-3.76, 1 Hg 3.62, 1 K 4.00
K 0.6707 0.2363 0.6049  2 Na 3.61-3.76, 1 Hg 3.62, 1 K 4.00
K 0.9344 0.3686 0.2637  2 Na 3.61-3.76, 1 Hg 3.62, 1 K 4.00
K 0.3293 0.7637 0.3951  2 Na 3.61-3.76, 1 Hg 3.62, 1 K 4.00
K 0.9344 0.5658 0.1707  2 Na 3.61-3.76, 1 Hg 3.62, 1 K 4.00
Hg 0.2500 0.1250 0.3750  4 K 3.62
K 0.8951 0.0658 0.6314  2 Na 3.61-3.76, 1 Hg 3.62, 1 K 4.00
K 0.8686 0.2637 0.4344  2 Na 3.61-3.76, 1 Hg 3.62, 1 K 4.00
Hg 0.2500 0.6250 0.8750  4 K 3.62
K 0.2363 0.6707 0.1049  2 Na 3.61-3.76, 1 Hg 3.62, 1 K 4.00
Hg 0.8750 0.7500 0.1250  4 K 3.62
K 0.4344 0.6707 0.0658  2 Na 3.61-3.76, 1 Hg 3.62, 1 K 4.00
K 0.8293 0.9342 0.0656  2 Na 3.61-3.76, 1 Hg 3.62, 1 K 4.00
Na 0.0000 0.5000 0.5000  6 K 3.76
K 0.3686 0.9344 0.7637  2 Na 3.61-3.76, 1 Hg 3.62, 1 K 4.00
K 0.7363 0.1314 0.0656  2 Na 3.61-3.76, 1 Hg 3.62, 1 K 4.00
K 0.7363 0.6049 0.1707  2 Na 3.61-3.76, 1 Hg 3.62, 1 K 4.00
K 0.0658 0.8951 0.1314  2 Na 3.61-3.76, 1 Hg 3.62, 1 K 4.00
K 0.4342 0.3686 0.6049  2 Na 3.61-3.76, 1 Hg 3.62, 1 K 4.00
Na 0.1250 0.7500 0.3750  4 K 3.61
K 0.6049 0.8686 0.4342  2 Na 3.61-3.76, 1 Hg 3.62, 1 K 4.00
Hg 0.8750 0.1250 0.2500  4 K 3.62
K 0.3951 0.2637 0.3293  2 Na 3.61-3.76, 1 Hg 3.62, 1 K 4.00
K 0.1314 0.7363 0.5656  2 Na 3.61-3.76, 1 Hg 3.62, 1 K 4.00
Na 0.5000 0.0000 0.5000  6 K 3.76
Na 0.6250 0.7500 0.8750  4 K 3.61
Na 0.1250 0.3750 0.2500  4 K 3.61
K 0.8686 0.6049 0.9342  2 Na 3.61-3.76, 1 Hg 3.62, 1 K 4.00
K 0.1707 0.0658 0.9344  2 Na 3.61-3.76, 1 Hg 3.62, 1 K 4.00
K 0.2363 0.5656 0.6314  2 Na 3.61-3.76, 1 Hg 3.62, 1 K 4.00
Na 0.0000 0.0000 0.0000  6 K 3.76


DFT (PBE) results for La4Sn8Ir after structural relaxation.

Summary:
The calculation puts the energy relative to the elements at -0.6583 eV per atom. The space group is No. 25. For the total moment, the calculation gives 0.00 μB/cell.

a = 4.5511 Å, b = 4.6422 Å, c = 17.4084 Å
α = 90.00°, β = 90.00°, γ = 90.00°
With the nearest neighbours (Å) after each atom.
Positions (direct):
La 0.0000 0.0000 0.0968  10 Sn 3.29-3.63
Ir 0.0000 0.0000 0.3118  5 Sn 2.60-2.68
Sn 0.5000 0.5000 0.7553  4 Sn 3.25, 4 La 3.40-3.44
La 0.5000 0.0000 0.8983  10 Sn 3.32-3.57
La 0.5000 0.5000 0.3926  8 Sn 3.46-3.62, 4 Ir 3.54
Sn 0.0000 0.5000 0.9361  2 Sn 3.06, 4 La 3.32
Sn 0.0000 0.5000 0.2343  2 Ir 2.68
Sn 0.0000 0.0000 0.7503  4 Sn 3.25, 4 La 3.41-3.44
Sn 0.5000 0.0000 0.2332  2 Ir 2.65
Sn 0.0000 0.0000 0.4611  1 Ir 2.60
Sn 0.5000 0.0000 0.5721  2 Sn 2.98, 4 La 3.31
La 0.0000 0.5000 0.6069  10 Sn 3.31-3.44
Sn 0.5000 0.5000 0.0540  2 Sn 3.06, 4 La 3.33


DFT (PBE) results for CeHo5Tm4 after structural relaxation.

Summary:
The calculation puts the energy relative to the elements at 0.1127 eV per atom. The space group is No. 12. The energy above the lowest structure with this stoichiometry is 0 meV/atom. For the total moment, the calculation gives 0.49 μB/cell.

a = 3.4399 Å, b = 10.7197 Å, c = 8.9176 Å
α = 73.29°, β = 101.12°, γ = 90.00°
With the nearest neighbours (Å) after each atom.
Positions (direct):
Ho 0.7930 0.5996 0.5861  7 Ho 3.32-3.59, 2 Tm 3.33-3.39
Ho 0.2070 0.4004 0.4139  7 Ho 3.32-3.59, 2 Tm 3.33-3.39
Ho 0.1052 0.7146 0.2105  5 Ho 3.32-3.59, 3 Tm 3.33-3.51, 2 Ce 3.52
Ce 0.5000 0.0000 0.0000  6 Tm 3.29-3.45, 2 Ce 3.44, 4 Ho 3.52
Ho 0.8948 0.2854 0.7895  5 Ho 3.32-3.59, 3 Tm 3.33-3.51, 2 Ce 3.52
Tm 0.6968 0.9175 0.3935  1 Ce 3.29, 3 Ho 3.33-3.51, 7 Tm 3.39-3.50
Tm 0.9061 0.8081 0.8122  4 Ho 3.33-3.66, 5 Tm 3.43-3.50, 2 Ce 3.45
Tm 0.0939 0.1919 0.1878  4 Ho 3.33-3.66, 5 Tm 3.43-3.50, 2 Ce 3.45
Ho 0.5000 0.5000 0.0000  6 Ho 3.44-3.76, 4 Tm 3.66
Tm 0.3032 0.0825 0.6065  1 Ce 3.29, 3 Ho 3.33-3.51, 7 Tm 3.39-3.50


DFT (PBE) results for RbGe3Mo after structural relaxation.

Summary:
The calculation puts the energy relative to the elements at 0.0789 eV per atom. The space group is No. 221. The energy above the lowest structure with this stoichiometry is 0 meV/atom. For the total moment, the calculation gives 0.00 μB/cell.

a = 4.9972 Å, b = 4.9972 Å, c = 4.9972 Å
α = 90.00°, β = 90.00°, γ = 90.00°
With the nearest neighbours (Å) after each atom.
Positions (direct):
Ge 0.0000 0.0000 0.5000  2 Mo 2.50
Ge 0.5000 0.0000 0.0000  2 Mo 2.50
Mo 0.0000 0.0000 0.0000  6 Ge 2.50
Ge 0.0000 0.5000 0.0000  2 Mo 2.50
Rb 0.5000 0.5000 0.5000  12 Ge 3.53


DFT (PBE) results for AgAsOsBr2 after structural relaxation.

Summary:
The space group is No. 123. The energy above the lowest structure with this stoichiometry is 963 meV/atom. The formation energy (no corrections) comes out at 1.565 eV per atom. For the total moment, the calculation gives 3.19 μB/cell.

a = 5.1866 Å, b = 5.1866 Å, c = 5.2011 Å
α = 90.00°, β = 90.00°, γ = 90.00°
With the nearest neighbours (Å) after each atom.
Positions (direct):
Br 0.0000 0.5000 0.0000  2 Ag 2.59
Ag 0.0000 0.0000 0.0000  4 Br 2.59, 2 As 2.60
Os 0.5000 0.5000 0.5000  4 As 3.67, 8 Br 3.67
As 0.0000 0.0000 0.5000  2 Ag 2.60
Br 0.5000 0.0000 0.0000  2 Ag 2.59


DFT (PBE) results for SrRu4Cl after structural relaxation.

Summary:
The space group is No. 216. The formation energy (no corrections) comes out at 0.760 eV per atom. For the total moment, the calculation gives 5.23 μB/cell.

a = 5.4085 Å, b = 5.4085 Å, c = 5.4085 Å
α = 60.00°, β = 60.00°, γ = 60.00°
With the nearest neighbours (Å) after each atom.
Positions (direct):
Ru 0.3741 0.3741 0.3741  6 Ru 2.68-2.72
Ru 0.3741 0.3741 0.8778  6 Ru 2.68-2.72
Ru 0.3741 0.8778 0.3741  6 Ru 2.68-2.72
Ru 0.8778 0.3741 0.3741  6 Ru 2.68-2.72
Sr 0.7500 0.7500 0.7500  12 Ru 3.17, 4 Cl 3.31
Cl 0.0000 0.0000 0.0000  12 Ru 3.17, 4 Sr 3.31


DFT (PBE) results for NiAsCl2 after structural relaxation.

Summary:
The space group is No. 47. The energy above the lowest structure with this stoichiometry is 791 meV/atom. The formation energy (no corrections) comes out at 0.334 eV per atom. For the total moment, the calculation gives 0.38 μB/cell.

a = 3.0718 Å, b = 5.6926 Å, c = 7.0486 Å
α = 36.13°, β = 90.00°, γ = 90.00°
With the nearest neighbours (Å) after each atom.
Positions (direct):
Ni 0.5000 0.5000 0.5000  4 Cl 2.58
Cl 0.5000 0.5000 0.0000  4 As 2.58
Cl 0.0000 0.0000 0.0000  4 Ni 2.58
As 0.0000 0.0000 0.5000  4 Cl 2.58


DFT (PBE) results for PmPrNi4 after structural relaxation.

Summary:
The calculation puts the energy relative to the elements at -0.3098 eV per atom. The space group is No. 216. For the total moment, the calculation gives 0.00 μB/cell.

a = 5.1754 Å, b = 5.1754 Å, c = 5.1754 Å
α = 60.00°, β = 60.00°, γ = 60.00°
With the nearest neighbours (Å) after each atom.
Positions (direct):
Pr 0.0000 0.0000 0.0000  12 Ni 3.03, 4 Pm 3.17
Ni 0.1259 0.6247 0.6247  6 Ni 2.58-2.59
Pm 0.2500 0.2500 0.2500  12 Ni 3.03, 4 Pr 3.17
Ni 0.6247 0.1259 0.6247  6 Ni 2.58-2.59
Ni 0.6247 0.6247 0.6247  6 Ni 2.58-2.59
Ni 0.6247 0.6247 0.1259  6 Ni 2.58-2.59


DFT (PBE) results for Ba2AuIBr after structural relaxation.

Summary:
The space group is No. 123. The energy above the lowest structure with this stoichiometry is 703 meV/atom. The formation energy (no corrections) comes out at -0.617 eV per atom. For the total moment, the calculation gives 0.00 μB/cell.

a = 6.2348 Å, b = 6.5293 Å, c = 6.2348 Å
α = 90.00°, β = 90.00°, γ = 90.00°
With the nearest neighbours (Å) after each atom.
Positions (direct):
I 0.0000 0.5000 0.0000  2 Br 3.26
Ba 0.0000 0.0000 0.5000  2 Br 3.12
Ba 0.5000 0.0000 0.0000  2 Br 3.12
Br 0.0000 0.0000 0.0000  4 Ba 3.12, 2 I 3.26
Au 0.5000 0.5000 0.5000  4 I 4.41, 8 Ba 4.51


What did the first record say?
DFT (PBE) results for NaHF4 after structural relaxation.

Summary:
The space group is No. 11. The energy above the lowest structure with this stoichiometry is 58 meV/atom. For the total moment, the calculation gives 0.00 μB/cell.

a = 4.7393 Å, b = 6.2932 Å, c = 5.5580 Å
α = 90.00°, β = 90.00°, γ = 118.59°
With the nearest neighbours (Å) after each atom.
Positions (direct):
F 0.6779 0.2747 0.2500  2 F 1.97
F 0.9838 0.1315 0.7500  1 H 0.96
F 0.3736 0.6756 0.0937  1 F 1.74, 1 H 1.79
F 0.3736 0.6756 0.4063  1 F 1.74, 1 H 1.79
F 0.6264 0.3244 0.5937  1 F 1.74, 1 H 1.79
F 0.0162 0.8685 0.2500  1 H 0.96
F 0.3221 0.7253 0.7500  2 F 1.97
Na 0.8222 0.7260 0.7500  5 F 2.29-2.40
H 0.8263 0.1867 0.7500  1 F 0.96
F 0.6264 0.3244 0.9063  1 F 1.74, 1 H 1.79
H 0.1737 0.8133 0.2500  1 F 0.96
Na 0.1778 0.2740 0.2500  5 F 2.29-2.40


Which formula does entry 6 have? CeHo5Tm4


Among the records above, which one has the highest total moment? Sr2MoI